P3OsPb | PBE | relaxed

a b c (Å): 4.695 4.695 4.695
angles (deg): 90.00 90.00 90.00
Element x y z (fractional)
P 0.000 0.000 0.500
P 0.000 0.500 0.000
P 0.500 0.000 0.000
Os 0.000 0.000 0.000
Pb 0.500 0.500 0.500

Computed properties:
Uncorrected energy: -28.2 eV per cell
Energy above the most stable polymorph in this dataset: 0 meV/atom
Crystal system: cubic
Magnetic moment: 0.00 μB per cell
Formation energy from the elements: 0.586 eV per atom
SG: Pm-3m, No. 221

=====

POsPb2 | PBE | relaxed

a b c (Å): 7.207 7.207 7.207
angles (deg): 150.36 147.40 44.63
Element x y z (fractional)
P 0.000 0.000 0.000
Os 0.096 0.596 0.500
Pb 0.413 0.413 0.000
Pb 0.690 0.190 0.500

Computed properties:
Uncorrected energy: -22.7 eV per cell
Crystal system: orthorhombic
Magnetic moment: 0.00 μB per cell
Formation energy from the elements: 0.341 eV per atom
SG: Imm2, No. 44

=====

POs2Pb | PBE | relaxed

a b c (Å): 2.973 4.310 6.329
angles (deg): 90.00 90.17 90.00
Element x y z (fractional)
P 0.000 0.000 0.000
Os 0.001 0.500 0.174
Os 0.502 0.000 0.289
Pb 0.503 0.500 0.587

Computed properties:
Uncorrected energy: -29.8 eV per cell
Energy above the most stable polymorph in this dataset: 131 meV/atom
Crystal system: monoclinic
Magnetic moment: 0.00 μB per cell
Formation energy from the elements: 0.434 eV per atom
SG: Pm, No. 6